one:
The following is a PBE calculation of a relaxed Nd2UN3 crystal, from Alexandria via LeMat-Bulk.

Lattice parameters (Å, degrees): 11.7479 11.1942 6.1795 79.39 69.48 31.13
Closest atoms and distances in Å follow each position.
Sites, in units of the cell vectors:
Nd (0.0431, 0.0431, 0.2069)  6 N 2.54-2.72
Nd (0.1231, 0.1231, 0.6269)  6 N 2.54-2.70
Nd (0.2069, 0.2069, 0.0431)  6 N 2.54-2.72
Nd (0.3731, 0.3731, 0.8769)  6 N 2.54-2.70
Nd (0.6269, 0.6269, 0.1231)  6 N 2.54-2.70
Nd (0.7931, 0.7931, 0.9569)  6 N 2.54-2.72
Nd (0.8769, 0.8769, 0.3731)  6 N 2.54-2.70
Nd (0.9569, 0.9569, 0.7931)  6 N 2.54-2.72
U (0.2912, 0.2912, 0.4588)  6 N 2.31-2.34
U (0.4588, 0.4588, 0.2912)  6 N 2.31-2.34
U (0.5412, 0.5412, 0.7088)  6 N 2.31-2.34
U (0.7088, 0.7088, 0.5412)  6 N 2.31-2.34
N (0.0335, 0.5358, 0.2535)  2 U 2.31-2.34, 2 Nd 2.54-2.56
N (0.1660, 0.5840, 0.5840)  2 U 2.32, 2 Nd 2.54
N (0.2535, 0.6772, 0.0335)  2 U 2.31-2.34, 2 Nd 2.54-2.56
N (0.3228, 0.7465, 0.4642)  2 U 2.31-2.34, 2 Nd 2.54-2.56
N (0.4160, 0.8340, 0.8340)  2 U 2.32, 2 Nd 2.54
N (0.4642, 0.9665, 0.3228)  2 U 2.31-2.34, 2 Nd 2.54-2.56
N (0.5358, 0.0335, 0.6772)  2 U 2.31-2.34, 2 Nd 2.54-2.56
N (0.5840, 0.1660, 0.1660)  2 U 2.32, 2 Nd 2.54
N (0.6772, 0.2535, 0.5358)  2 U 2.31-2.34, 2 Nd 2.54-2.56
N (0.7465, 0.3228, 0.9665)  2 U 2.31-2.34, 2 Nd 2.54-2.56
N (0.8340, 0.4160, 0.4160)  2 U 2.32, 2 Nd 2.54
N (0.9665, 0.4642, 0.7465)  2 U 2.31-2.34, 2 Nd 2.54-2.56

Results
symmetry = Fddd, No. 70
volume = 382 Å³ per cell

=====

two:
The following is a PBE calculation of a relaxed Nd2UN3 crystal, from Alexandria via LeMat-Bulk.

Lattice parameters (Å, degrees): 6.1750 6.1750 6.1303 99.53 99.53 119.72
Closest atoms and distances in Å follow each position.
Sites, in units of the cell vectors:
Nd (0.0842, 0.9158, 0.7500)  6 N 2.51-2.75
Nd (0.2472, 0.7528, 0.2500)  6 N 2.51-2.71
Nd (0.7528, 0.2472, 0.7500)  6 N 2.51-2.71
Nd (0.9158, 0.0842, 0.2500)  6 N 2.51-2.75
U (0.4152, 0.5848, 0.7500)  6 N 2.30-2.51
U (0.5848, 0.4152, 0.2500)  6 N 2.30-2.51
N (0.0000, 0.5000, 0.5000)  2 U 2.51, 4 Nd 2.51
N (0.2227, 0.3644, 0.9989)  2 U 2.30-2.34, 2 Nd 2.55-2.56
N (0.3644, 0.2227, 0.4989)  2 U 2.30-2.34, 2 Nd 2.55-2.56
N (0.5000, 0.0000, 0.0000)  2 U 2.51, 4 Nd 2.51
N (0.6356, 0.7773, 0.5011)  2 U 2.30-2.34, 2 Nd 2.55-2.56
N (0.7773, 0.6356, 0.0011)  2 U 2.30-2.34, 2 Nd 2.55-2.56

Results
symmetry = C2/c, No. 15
volume = 192 Å³ per cell

=====

Stability summary - winner: one; margin: 0.043 eV/atom.

=====

one:
The following is a PBE calculation of a relaxed NdWN2 crystal, from Alexandria via LeMat-Bulk.

Lattice parameters (Å, degrees): 5.8945 3.3176 10.7632 90.00 90.00 90.00
Closest atoms and distances in Å follow each position.
Sites, in units of the cell vectors:
Nd (0.0792, 0.2500, 0.1440)  7 N 2.43-2.58
Nd (0.4208, 0.7500, 0.6440)  7 N 2.43-2.58
Nd (0.5792, 0.2500, 0.3560)  7 N 2.43-2.58
Nd (0.9208, 0.7500, 0.8560)  7 N 2.43-2.58
W (0.0622, 0.7500, 0.4058)  5 N 2.11-2.35
W (0.4378, 0.2500, 0.9058)  5 N 2.11-2.35
W (0.5622, 0.7500, 0.0942)  5 N 2.11-2.35
W (0.9378, 0.2500, 0.5942)  5 N 2.11-2.35
N (0.1641, 0.2500, 0.7465)  2 W 2.11-2.35
N (0.2444, 0.2500, 0.4877)  3 W 2.14-2.16
N (0.2556, 0.7500, 0.9877)  3 W 2.14-2.16
N (0.3359, 0.7500, 0.2465)  2 W 2.11-2.35
N (0.6641, 0.2500, 0.7535)  2 W 2.11-2.35
N (0.7444, 0.2500, 0.0123)  3 W 2.14-2.16
N (0.7556, 0.7500, 0.5123)  3 W 2.14-2.16
N (0.8359, 0.7500, 0.2535)  2 W 2.11-2.35

Results
symmetry = Pnma, No. 62
volume = 210 Å³ per cell

=====

two:
The following is a PBE calculation of a relaxed NdWN2 crystal, from Alexandria via LeMat-Bulk.

Lattice parameters (Å, degrees): 5.8411 5.8411 5.8411 32.52 32.52 32.52
Closest atoms and distances in Å follow each position.
Sites, in units of the cell vectors:
Nd (0.0000, 0.0000, 0.0000)  6 N 2.51
W (0.5000, 0.5000, 0.5000)  6 N 2.19
N (0.2336, 0.2336, 0.2336)  3 W 2.19
N (0.7664, 0.7664, 0.7664)  3 W 2.19

Results
symmetry = R-3m, No. 166
volume = 51 Å³ per cell

=====

Stability summary - winner: one; margin: 0.240 eV/atom.

=====

one:
The following is a PBE calculation of a relaxed NdY2N crystal, from Alexandria via LeMat-Bulk.

Lattice parameters (Å, degrees): 9.8499 9.8499 9.8499 20.33 20.33 20.33
Closest atoms and distances in Å follow each position.
Sites, in units of the cell vectors:
Nd (0.0000, 0.0000, 0.0000)  6 Nd 3.48, 2 Y 3.49
Y (0.1207, 0.1207, 0.1207)  3 N 2.41
Y (0.8793, 0.8793, 0.8793)  3 N 2.41
N (0.5000, 0.5000, 0.5000)  6 Y 2.41

Results
symmetry = R-3m, No. 166
volume = 101 Å³ per cell

=====

two:
The following is a PBE calculation of a relaxed NdY2N crystal, from Alexandria via LeMat-Bulk.

Lattice parameters (Å, degrees): 3.1890 3.1890 9.0027 90.00 90.00 90.00
Closest atoms and distances in Å follow each position.
Sites, in units of the cell vectors:
Nd (0.0000, 0.0000, 0.0000)  4 Nd 3.19
Y (0.5000, 0.5000, 0.3422)  4 N 2.66, 1 Y 2.84
Y (0.5000, 0.5000, 0.6578)  4 N 2.66, 1 Y 2.84
N (0.0000, 0.0000, 0.5000)  8 Y 2.66

Results
symmetry = P4/mmm, No. 123
volume = 92 Å³ per cell

=====

Stability summary - winner: one; margin: 0.517 eV/atom.

=====

one:
The following is a PBE calculation of a relaxed NdY3N4 crystal, from Alexandria via LeMat-Bulk.

Lattice parameters (Å, degrees): 4.9881 4.9881 4.9881 90.00 90.00 90.00
Closest atoms and distances in Å follow each position.
Sites, in units of the cell vectors:
Nd (0.0000, 0.0000, 0.0000)  6 N 2.49
Y (0.0000, 0.5000, 0.5000)  6 N 2.49
Y (0.5000, 0.0000, 0.5000)  6 N 2.49
Y (0.5000, 0.5000, 0.0000)  6 N 2.49
N (0.0000, 0.0000, 0.5000)  4 Y 2.49, 2 Nd 2.49
N (0.0000, 0.5000, 0.0000)  4 Y 2.49, 2 Nd 2.49
N (0.5000, 0.0000, 0.0000)  4 Y 2.49, 2 Nd 2.49
N (0.5000, 0.5000, 0.5000)  6 Y 2.49

Results
symmetry = Pm-3m, No. 221
volume = 124 Å³ per cell

=====

two:
The following is a PBE calculation of a relaxed NdY3N4 crystal, from Alexandria via LeMat-Bulk.

Lattice parameters (Å, degrees): 6.1034 7.0538 6.1017 90.00 109.46 90.00
Closest atoms and distances in Å follow each position.
Sites, in units of the cell vectors:
Nd (0.0000, 0.1268, 0.2500)  6 N 2.52-2.55
Nd (0.0000, 0.8732, 0.7500)  6 N 2.52-2.55
Y (0.0000, 0.3766, 0.7500)  6 N 2.48-2.49
Y (0.0000, 0.6234, 0.2500)  6 N 2.48-2.49
Y (0.5000, 0.1278, 0.7500)  6 N 2.44-2.52
Y (0.5000, 0.3764, 0.2500)  6 N 2.45-2.51
Y (0.5000, 0.6236, 0.7500)  6 N 2.45-2.51
Y (0.5000, 0.8722, 0.2500)  6 N 2.44-2.52
N (0.2521, 0.3786, 0.5048)  5 Y 2.45-2.51, 1 Nd 2.52
N (0.2521, 0.6214, 0.0048)  5 Y 2.45-2.51, 1 Nd 2.52
N (0.2578, 0.1305, 0.9985)  4 Y 2.44-2.52, 2 Nd 2.54-2.55
N (0.2578, 0.8695, 0.4985)  4 Y 2.44-2.52, 2 Nd 2.54-2.55
N (0.7422, 0.1305, 0.5015)  4 Y 2.44-2.52, 2 Nd 2.54-2.55
N (0.7422, 0.8695, 0.0015)  4 Y 2.44-2.52, 2 Nd 2.54-2.55
N (0.7479, 0.3786, 0.9952)  5 Y 2.45-2.51, 1 Nd 2.52
N (0.7479, 0.6214, 0.4952)  5 Y 2.45-2.51, 1 Nd 2.52

Results
symmetry = P2/c, No. 13
volume = 248 Å³ per cell

=====

Stability summary - winner: two; margin: 0.012 eV/atom.

=====

one:
The following is a PBE calculation of a relaxed Nd2ZnN crystal, from Alexandria via LeMat-Bulk.

Lattice parameters (Å, degrees): 7.8137 7.8137 7.8137 27.39 27.39 27.39
Closest atoms and distances in Å follow each position.
Sites, in units of the cell vectors:
Nd (0.2291, 0.2291, 0.2291)  3 N 2.56
Nd (0.7709, 0.7709, 0.7709)  3 N 2.56
Zn (0.0000, 0.0000, 0.0000)  6 Nd 3.18
N (0.5000, 0.5000, 0.5000)  6 Nd 2.56

Results
symmetry = R-3m, No. 166
volume = 89 Å³ per cell

=====

two:
The following is a PBE calculation of a relaxed Nd2ZnN crystal, from Alexandria via LeMat-Bulk.

Lattice parameters (Å, degrees): 6.8932 6.8932 6.8932 137.18 77.20 119.22
Closest atoms and distances in Å follow each position.
Sites, in units of the cell vectors:
Nd (0.1028, 0.2500, 0.3528)  3 N 2.38-2.54
Nd (0.4520, 0.8834, 0.0686)  2 N 2.37-2.49
Nd (0.8148, 0.3834, 0.9314)  2 N 2.37-2.49
Nd (0.8972, 0.7500, 0.6472)  3 N 2.38-2.54
Zn (0.3745, 0.2007, 0.6738)  2 Zn 3.01, 4 Nd 3.04-3.16
Zn (0.5269, 0.7007, 0.3262)  2 Zn 3.01, 4 Nd 3.04-3.16
N (0.0755, 0.7087, 0.8668)  5 Nd 2.37-2.54
N (0.8419, 0.2087, 0.1332)  5 Nd 2.37-2.54

Results
symmetry = Ima2, No. 46
volume = 189 Å³ per cell

=====

Stability summary - winner: one; margin: 0.059 eV/atom.

=====

one:
The following is a PBE calculation of a relaxed NdZr2N4 crystal, from Alexandria via LeMat-Bulk.

Lattice parameters (Å, degrees): 5.7089 5.7089 10.6478 90.00 90.00 146.32
Closest atoms and distances in Å follow each position.
Sites, in units of the cell vectors:
Nd (0.1082, 0.8918, 0.7500)  6 N 2.41-2.61
Nd (0.8918, 0.1082, 0.2500)  6 N 2.41-2.61
Zr (0.3676, 0.6324, 0.5676)  6 N 2.13-2.31
Zr (0.3676, 0.6324, 0.9324)  6 N 2.13-2.31
Zr (0.6324, 0.3676, 0.0676)  6 N 2.13-2.31
Zr (0.6324, 0.3676, 0.4324)  6 N 2.13-2.31
N (0.0000, 0.0000, 0.0000)  4 Zr 2.31
N (0.0000, 0.0000, 0.5000)  4 Zr 2.31
N (0.2632, 0.7368, 0.1130)  3 Zr 2.24
N (0.2632, 0.7368, 0.3870)  3 Zr 2.24
N (0.4474, 0.5526, 0.7500)  2 Zr 2.13
N (0.5526, 0.4474, 0.2500)  2 Zr 2.13
N (0.7368, 0.2632, 0.6130)  3 Zr 2.24
N (0.7368, 0.2632, 0.8870)  3 Zr 2.24

Results
symmetry = Cmcm, No. 63
volume = 192 Å³ per cell

=====

two:
The following is a PBE calculation of a relaxed NdZr2N4 crystal, from Alexandria via LeMat-Bulk.

Lattice parameters (Å, degrees): 6.7305 6.7274 6.7196 60.07 60.02 59.91
Closest atoms and distances in Å follow each position.
Sites, in units of the cell vectors:
Nd (0.1250, 0.1250, 0.1250)  4 N 2.33
Nd (0.8750, 0.8750, 0.8750)  4 N 2.33
Zr (0.0000, 0.5000, 0.5000)  6 N 2.23
Zr (0.5000, 0.0000, 0.5000)  6 N 2.23
Zr (0.5000, 0.5000, 0.0000)  6 N 2.23
Zr (0.5000, 0.5000, 0.5000)  6 N 2.23
N (0.2659, 0.7007, 0.2667)  3 Zr 2.23, 1 Nd 2.33
N (0.2667, 0.2666, 0.2659)  3 Zr 2.23, 1 Nd 2.33
N (0.2666, 0.2667, 0.7007)  3 Zr 2.23, 1 Nd 2.33
N (0.2993, 0.7341, 0.7334)  3 Zr 2.23, 1 Nd 2.33
N (0.7007, 0.2659, 0.2666)  3 Zr 2.23, 1 Nd 2.33
N (0.7334, 0.7333, 0.2993)  3 Zr 2.23, 1 Nd 2.33
N (0.7333, 0.7334, 0.7341)  3 Zr 2.23, 1 Nd 2.33
N (0.7341, 0.2993, 0.7333)  3 Zr 2.23, 1 Nd 2.33

Results
symmetry = Fddd, No. 70
volume = 215 Å³ per cell

=====

Stability summary - winner: one; margin: 0.042 eV/atom.

=====

one:
The following is a PBE calculation of a relaxed NdZrN crystal, from Alexandria via LeMat-Bulk.

Lattice parameters (Å, degrees): 3.4264 3.4264 5.9318 90.00 90.00 120.00
Closest atoms and distances in Å follow each position.
Sites, in units of the cell vectors:
Nd (0.0000, 0.0000, 0.0000)  3 N 2.55
Zr (0.6667, 0.3333, 0.4525)  3 N 2.25
N (0.3333, 0.6667, 0.2711)  3 Zr 2.25

Results
symmetry = P3m1, No. 156
volume = 60 Å³ per cell

=====

two:
The following is a PBE calculation of a relaxed NdZrN crystal, from Alexandria via LeMat-Bulk.

Lattice parameters (Å, degrees): 3.7182 3.7182 8.8450 90.00 90.00 90.00
Closest atoms and distances in Å follow each position.
Sites, in units of the cell vectors:
Nd (0.2500, 0.2500, 0.1832)  4 N 2.89
Nd (0.7500, 0.7500, 0.8168)  4 N 2.89
Zr (0.2500, 0.7500, 0.5000)  4 N 2.45, 4 Zr 2.63
Zr (0.7500, 0.2500, 0.5000)  4 N 2.45, 4 Zr 2.63
N (0.2500, 0.2500, 0.6805)  4 Zr 2.45
N (0.7500, 0.7500, 0.3195)  4 Zr 2.45

Results
symmetry = P4/nmm, No. 129
volume = 122 Å³ per cell

=====

Stability summary - winner: one; margin: 0.593 eV/atom.